Record 1
First-principles (PBE) data for an optimized crystal structure of PdC, as listed in the Alexandria database.

The structure in CIF format:
```
data_PdC
_chemical_formula_sum 'Pd8 C8'
_symmetry_space_group_name_H-M 'I -4 3 m'
_symmetry_Int_Tables_number 217
_symmetry_space_group_name_Hall 'I -4 2 3'
_cell_length_a 6.422
_cell_length_b 6.422
_cell_length_c 6.422
_cell_angle_alpha 90.00
_cell_angle_beta 90.00
_cell_angle_gamma 90.00
loop_
_atom_site_label
_atom_site_type_symbol
_atom_site_fract_x
_atom_site_fract_y
_atom_site_fract_z
Pd1 Pd 0.154 0.154 0.846
C1 C 0.172 0.172 0.172
```

Summary:
Calculated total energy in eV/atom: -5.83
Spin magnetization in μB per formula unit: 0.00
E_form in meV per atom: 1379.9
Mass density in g/cm³: 5.9
Relative energy among the computed polymorphs in eV/atom: 0.559

Record 2
First-principles (PBE) data for an optimized crystal structure of K2SeOF5, as listed in the Alexandria database.

The structure in CIF format:
```
data_K2SeOF5
_chemical_formula_sum 'K4 Se2 O2 F10'
_symmetry_space_group_name_H-M 'I 4 m m'
_symmetry_Int_Tables_number 107
_symmetry_space_group_name_Hall 'I 4 -2'
_cell_length_a 5.869
_cell_length_b 5.869
_cell_length_c 8.861
_cell_angle_alpha 90.00
_cell_angle_beta 90.00
_cell_angle_gamma 90.00
loop_
_atom_site_label
_atom_site_type_symbol
_atom_site_fract_x
_atom_site_fract_y
_atom_site_fract_z
K1 K 0.000 0.500 0.000
Se1 Se 0.000 0.000 0.258
O1 O 0.000 0.000 0.446
F1 F 0.000 0.000 0.020
F2 F 0.231 0.231 0.237
```

Summary:
Calculated total energy in eV/atom: -4.23
Spin magnetization in μB per formula unit: 0.97
Raw formation energy in meV per atom: -2005.7
Mass density in g/cm³: 2.9

Record 3
First-principles (PBE) data for an optimized crystal structure of BaSiAs, as listed in the Alexandria database.

The structure in CIF format:
```
data_BaSiAs
_chemical_formula_sum 'Ba4 Si4 As4'
_symmetry_space_group_name_H-M 'C 1 2/m 1'
_symmetry_Int_Tables_number 12
_cell_length_a 12.520
_cell_length_b 4.026
_cell_length_c 7.198
_cell_angle_alpha 90.00
_cell_angle_beta 98.43
_cell_angle_gamma 90.00
loop_
_symmetry_equiv_pos_as_xyz
'x,y,z'
'-x,-y,-z'
'-x,y,-z'
'x,-y,z'
'x+1/2,y+1/2,z'
'-x+1/2,-y+1/2,-z'
'-x+1/2,y+1/2,-z'
'x+1/2,-y+1/2,z'
loop_
_atom_site_label
_atom_site_type_symbol
_atom_site_fract_x
_atom_site_fract_y
_atom_site_fract_z
Ba1 Ba 0.147 0.000 0.251
Si1 Si 0.091 0.500 0.578
As1 As 0.123 0.000 0.778
```

Summary:
Calculated total energy in eV/atom: -4.59
Spin magnetization in μB per formula unit: 0.00
Raw formation energy in meV per atom: -593.7
Mass density in g/cm³: 4.4
Relative energy among the computed polymorphs in eV/atom: 0.000

Record 4
First-principles (PBE) data for an optimized crystal structure of Pr3DyPu2Te6, as listed in the Alexandria database.

The structure in CIF format:
```
data_Pr3DyPu2Te6
_chemical_formula_sum 'Pr6 Dy2 Pu4 Te12'
_symmetry_space_group_name_H-M 'C 1 2/m 1'
_symmetry_Int_Tables_number 12
_cell_length_a 19.524
_cell_length_b 4.445
_cell_length_c 8.985
_cell_angle_alpha 90.00
_cell_angle_beta 103.87
_cell_angle_gamma 90.00
loop_
_symmetry_equiv_pos_as_xyz
'x,y,z'
'-x,-y,-z'
'-x,y,-z'
'x,-y,z'
'x+1/2,y+1/2,z'
'-x+1/2,-y+1/2,-z'
'-x+1/2,y+1/2,-z'
'x+1/2,-y+1/2,z'
loop_
_atom_site_label
_atom_site_type_symbol
_atom_site_fract_x
_atom_site_fract_y
_atom_site_fract_z
Pr1 Pr 0.000 0.000 0.000
Pr2 Pr 0.168 0.500 0.334
Dy1 Dy 0.000 0.000 0.500
Pu1 Pu 0.166 0.500 0.833
Te1 Te 0.001 0.500 0.741
Te2 Te 0.163 0.000 0.587
Te3 Te 0.169 0.000 0.078
```

Summary:
Calculated total energy in eV/atom: -6.85
Spin magnetization in μB per formula unit: 11.86
Raw formation energy in meV per atom: -1314.6
Mass density in g/cm³: 8.1

Please write out number 1 again, unchanged.
First-principles (PBE) data for an optimized crystal structure of PdC, as listed in the Alexandria database.

The structure in CIF format:
```
data_PdC
_chemical_formula_sum 'Pd8 C8'
_symmetry_space_group_name_H-M 'I -4 3 m'
_symmetry_Int_Tables_number 217
_symmetry_space_group_name_Hall 'I -4 2 3'
_cell_length_a 6.422
_cell_length_b 6.422
_cell_length_c 6.422
_cell_angle_alpha 90.00
_cell_angle_beta 90.00
_cell_angle_gamma 90.00
loop_
_atom_site_label
_atom_site_type_symbol
_atom_site_fract_x
_atom_site_fract_y
_atom_site_fract_z
Pd1 Pd 0.154 0.154 0.846
C1 C 0.172 0.172 0.172
```

Summary:
Calculated total energy in eV/atom: -5.83
Spin magnetization in μB per formula unit: 0.00
E_form in meV per atom: 1379.9
Mass density in g/cm³: 5.9
Relative energy among the computed polymorphs in eV/atom: 0.559

- Number 4 is which compound?
  Pr3DyPu2Te6

- Which of these has the highest spin magnetization?
  Pr3DyPu2Te6